(1)
Material: RhSe2
Method: DFT, PBE-GGA
State: optimized geometry

The structure in CIF format:
```
data_RhSe2
_chemical_formula_sum 'Rh4 Se8'
_cell_length_a 3.5855
_cell_length_b 6.5812
_cell_length_c 10.6831
_cell_angle_alpha 90.00
_cell_angle_beta 90.00
_cell_angle_gamma 90.00
_symmetry_space_group_name_H-M 'C m c e'
_symmetry_Int_Tables_number 64
_symmetry_space_group_name_Hall '-C 2ac 2'
loop_
_atom_site_label
_atom_site_type_symbol
_atom_site_fract_x
_atom_site_fract_y
_atom_site_fract_z
Rh1 Rh 0.0000 0.0000 0.0000
Se1 Se 0.0000 0.1769 0.3775
```

Output
As for the total magnetization: 0.000 μB/atom. The calculation puts the raw formation energy at -0.344 eV per atom. For the total energy, the calculation gives -5.1173 eV/atom. The value obtained for the density of states at the Fermi level is 10.24 states/eV/cell.

(2)
Material: RhSe2
Method: DFT, PBE-GGA
State: optimized geometry

The structure in CIF format:
```
data_RhSe2
_chemical_formula_sum 'Rh4 Se8'
_cell_length_a 12.4820
_cell_length_b 3.4936
_cell_length_c 6.9702
_cell_angle_alpha 90.00
_cell_angle_beta 113.81
_cell_angle_gamma 90.00
_symmetry_space_group_name_H-M 'C 1 m 1'
_symmetry_Int_Tables_number 8
_symmetry_space_group_name_Hall 'C -2y'
loop_
_atom_site_label
_atom_site_type_symbol
_atom_site_fract_x
_atom_site_fract_y
_atom_site_fract_z
Rh1 Rh 0.0000 0.0000 0.0000
Rh2 Rh 0.1299 0.5000 0.3499
Se1 Se 0.1554 0.5000 0.0255
Se2 Se 0.1951 0.0000 0.6044
Se3 Se 0.4156 0.0000 0.7180
Se4 Se 0.4201 0.0000 0.1738
```

Output
As for the total magnetization: 0.000 μB/atom. The calculation puts the raw formation energy at -0.179 eV per atom. For the total energy, the calculation gives -4.9528 eV/atom. The value obtained for the density of states at the Fermi level is 7.20 states/eV/cell.

(3)
Material: RhSe2
Method: DFT, PBE-GGA
State: optimized geometry

The structure in CIF format:
```
data_RhSe2
_chemical_formula_sum 'Rh4 Se8'
_cell_length_a 6.1434
_cell_length_b 6.1434
_cell_length_c 6.1434
_cell_angle_alpha 90.00
_cell_angle_beta 90.00
_cell_angle_gamma 90.00
_symmetry_space_group_name_H-M 'F m -3 m'
_symmetry_Int_Tables_number 225
_symmetry_space_group_name_Hall '-F 4 2 3'
loop_
_atom_site_label
_atom_site_type_symbol
_atom_site_fract_x
_atom_site_fract_y
_atom_site_fract_z
Rh1 Rh 0.0000 0.0000 0.0000
Se1 Se 0.2500 0.2500 0.2500
```

Output
As for the total magnetization: 0.000 μB/atom. The calculation puts the raw formation energy at -0.223 eV per atom. For the total energy, the calculation gives -4.9966 eV/atom. The value obtained for the density of states at the Fermi level is 9.11 states/eV/cell.